# 1
TbPuPa: optimized geometry, PBE.

a b c (Å): 5.4700 5.4700 7.0256
angles (deg): 67.09 67.09 60.00
Last column: nearest neighbours and their distance in Å.
Fractional positions:
Pu (0.2834, 0.2834, 0.1499)  1 Pa 2.63
Pu (0.7166, 0.7166, 0.8501)  1 Pa 2.63
Pa (0.4233, 0.4233, 0.7301)  1 Pu 2.63, 1 Pa 2.89
Pa (0.5767, 0.5767, 0.2699)  1 Pu 2.63, 1 Pa 2.89
Tb (0.8999, 0.8999, 0.3003)  3 Pa 3.16, 4 Pu 3.30-3.45
Tb (0.1001, 0.1001, 0.6997)  3 Pa 3.16, 4 Pu 3.30-3.45

Results
**Relative energy among the computed polymorphs**: 355 meV per atom
**Spin magnetization**: 2.07 μB/atom
**Density of states at the Fermi level**: 2.321 states/eV per atom
**Electronic total energy**: -9.003 eV per atom
**Space-group type**: R-3m (166)


# 2
Sc2TcP: optimized geometry, PBE.

a b c (Å): 7.5554 7.5554 7.5554
angles (deg): 26.02 26.02 26.02
Last column: nearest neighbours and their distance in Å.
Fractional positions:
Sc (0.7441, 0.7441, 0.7441)  3 P 2.59, 3 Tc 2.77
Sc (0.2559, 0.2559, 0.2559)  3 P 2.59, 3 Tc 2.77
Tc (0.5000, 0.5000, 0.5000)  6 Sc 2.77
P (0.0000, 0.0000, 0.0000)  6 Sc 2.59

Results
**Spin magnetization**: 0.00 μB/atom
**Density of states at the Fermi level**: 0.386 states/eV per atom
**Electronic total energy**: -7.575 eV per atom
**Space-group type**: R-3m (166)


# 3
BaGa9Pd2: optimized geometry, PBE.

a b c (Å): 7.8099 8.5953 8.5953
angles (deg): 78.09 62.98 62.98
Last column: nearest neighbours and their distance in Å.
Fractional positions:
Ba (0.5000, 0.0000, 0.0000)  18 Ga 3.51-3.90
Ba (0.2500, 0.5000, 0.5000)  18 Ga 3.51-3.90
Ga (0.7500, 0.5000, 0.5000)  4 Pd 2.88, 8 Ga 2.96
Ga (0.0000, 0.0000, 0.0000)  4 Pd 2.88, 8 Ga 2.96
Ga (0.0146, 0.9190, 0.6749)  6 Ga 2.64-2.96, 2 Pd 2.65-2.83
Ga (0.6084, 0.0810, 0.3251)  6 Ga 2.64-2.96, 2 Pd 2.65-2.83
Ga (0.6836, 0.1749, 0.5810)  6 Ga 2.64-2.96, 2 Pd 2.65-2.83
Ga (0.4395, 0.8251, 0.4190)  6 Ga 2.64-2.96, 2 Pd 2.65-2.83
Ga (0.7354, 0.8251, 0.5810)  6 Ga 2.64-2.96, 2 Pd 2.65-2.83
Ga (0.1416, 0.1749, 0.4190)  6 Ga 2.64-2.96, 2 Pd 2.65-2.83
Ga (0.0664, 0.9190, 0.3251)  6 Ga 2.64-2.96, 2 Pd 2.65-2.83
Ga (0.3105, 0.0810, 0.6749)  6 Ga 2.64-2.96, 2 Pd 2.65-2.83
Ga (0.7354, 0.5810, 0.8251)  6 Ga 2.64-2.96, 2 Pd 2.65-2.83
Ga (0.1416, 0.4190, 0.1749)  6 Ga 2.64-2.96, 2 Pd 2.65-2.83
Ga (0.0664, 0.3251, 0.9190)  6 Ga 2.64-2.96, 2 Pd 2.65-2.83
Ga (0.3105, 0.6749, 0.0810)  6 Ga 2.64-2.96, 2 Pd 2.65-2.83
Ga (0.0146, 0.6749, 0.9190)  6 Ga 2.64-2.96, 2 Pd 2.65-2.83
Ga (0.6084, 0.3251, 0.0810)  6 Ga 2.64-2.96, 2 Pd 2.65-2.83
Ga (0.6836, 0.5810, 0.1749)  6 Ga 2.64-2.96, 2 Pd 2.65-2.83
Ga (0.4395, 0.4190, 0.8251)  6 Ga 2.64-2.96, 2 Pd 2.65-2.83
Pd (0.8750, 0.2500, 0.7500)  10 Ga 2.65-2.88
Pd (0.8750, 0.7500, 0.2500)  10 Ga 2.65-2.88
Pd (0.8750, 0.2500, 0.2500)  10 Ga 2.65-2.88
Pd (0.3750, 0.7500, 0.7500)  10 Ga 2.65-2.88

Results
**Spin magnetization**: 0.00 μB/atom
**Density of states at the Fermi level**: 0.431 states/eV per atom
**Electronic total energy**: -3.662 eV per atom
**Space-group type**: I4_1/amd (141)


# 4
Sc2ReW: optimized geometry, PBE.

a b c (Å): 2.9448 4.4146 5.5395
angles (deg): 90.00 90.00 90.00
Last column: nearest neighbours and their distance in Å.
Fractional positions:
Re (0.5000, 0.5000, 0.7232)  1 Sc 2.59, 4 W 2.87
Sc (0.0000, 0.0000, 0.9939)  1 W 2.58
Sc (0.5000, 0.5000, 0.2551)  1 Re 2.59
W (0.0000, 0.0000, 0.5277)  1 Sc 2.58, 4 Re 2.87

Results
**Relative energy among the computed polymorphs**: 351 meV per atom
**Spin magnetization**: 0.00 μB/atom
**Density of states at the Fermi level**: 0.925 states/eV per atom
**Electronic total energy**: -9.222 eV per atom
**Space-group type**: Pmm2 (25)


# 5
Sr2ThGe3Au12: optimized geometry, PBE.

a b c (Å): 8.3250 8.3250 8.3250
angles (deg): 66.60 66.60 66.60
Last column: nearest neighbours and their distance in Å.
Fractional positions:
Sr (0.5974, 0.5974, 0.5974)  9 Au 3.13-3.50
Sr (0.4026, 0.4026, 0.4026)  9 Au 3.13-3.50
Th (0.0000, 0.0000, 0.0000)  6 Au 2.92
Ge (0.5000, 0.0000, 0.0000)  6 Au 2.57-2.59
Ge (0.0000, 0.5000, 0.0000)  6 Au 2.57-2.59
Ge (0.0000, 0.0000, 0.5000)  6 Au 2.57-2.59
Au (0.3120, 0.3120, 0.8434)  2 Ge 2.57, 2 Au 2.84
Au (0.8530, 0.8530, 0.3927)  1 Ge 2.59
Au (0.3927, 0.8530, 0.8530)  1 Ge 2.59
Au (0.8434, 0.3120, 0.3120)  2 Ge 2.57, 2 Au 2.84
Au (0.8530, 0.3927, 0.8530)  1 Ge 2.59
Au (0.3120, 0.8434, 0.3120)  2 Ge 2.57, 2 Au 2.84
Au (0.6880, 0.6880, 0.1566)  2 Ge 2.57, 2 Au 2.84
Au (0.1470, 0.1470, 0.6073)  1 Ge 2.59
Au (0.6073, 0.1470, 0.1470)  1 Ge 2.59
Au (0.1566, 0.6880, 0.6880)  2 Ge 2.57, 2 Au 2.84
Au (0.1470, 0.6073, 0.1470)  1 Ge 2.59
Au (0.6880, 0.1566, 0.6880)  2 Ge 2.57, 2 Au 2.84

Results
**Spin magnetization**: 0.00 μB/atom
**Density of states at the Fermi level**: 0.353 states/eV per atom
**Electronic total energy**: -3.687 eV per atom
**Space-group type**: R-3m (166)


# 6
ReOsPt2: optimized geometry, PBE.

a b c (Å): 9.2411 9.2411 9.2411
angles (deg): 17.18 17.18 17.18
Last column: nearest neighbours and their distance in Å.
Fractional positions:
Os (0.2500, 0.2500, 0.2500)  6 Os 2.76, 6 Pt 2.80
Pt (0.0008, 0.0008, 0.0008)  3 Re 2.76, 6 Pt 2.76, 3 Os 2.80
Pt (0.4992, 0.4992, 0.4992)  3 Re 2.76, 6 Pt 2.76, 3 Os 2.80
Re (0.7500, 0.7500, 0.7500)  6 Pt 2.76, 6 Re 2.76

Results
**Relative energy among the computed polymorphs**: 190 meV per atom
**Spin magnetization**: 0.00 μB/atom
**Density of states at the Fermi level**: 1.002 states/eV per atom
**Electronic total energy**: -8.834 eV per atom
**Space-group type**: R-3m (166)